Model one:
## SrSbI2Br (GGA-PBE)

Data for a relaxed SrSbI2Br crystal.

The structure in extended XYZ format:
```
5
Lattice="-1.422 5.374 1.485 -5.575 -1.390 -0.308 0.074 -1.571 5.756" Properties=species:S:1:pos:R:3 pbc="T T T"
Sr -3.461 1.206 3.466
I -0.711 2.687 0.743
Br 0.000 0.000 0.000
Sb 0.037 -0.785 2.878
I -2.787 -0.695 -0.154
```

Computed properties:
Symmetry   P4/mmm (123)

=====

Model two:
## SrSbI2Br (GGA-PBE)

Data for a relaxed SrSbI2Br crystal.

The structure in extended XYZ format:
```
5
Lattice="6.145 0.000 0.000 0.000 6.145 0.000 0.000 0.000 7.164" Properties=species:S:1:pos:R:3 pbc="T T T"
Sr 0.000 0.000 0.000
I 3.072 0.000 0.000
Br 3.072 3.072 3.582
I 0.000 3.072 0.000
Sb 0.000 0.000 3.582
```

Computed properties:
Symmetry   P4/mmm (123)

=====

If we sort the structures by their calculated energies, the order from most to least stable is model two, model one.

=====

Model one:
## SrSb2IBr (GGA-PBE)

Data for a relaxed SrSb2IBr crystal.

The structure in extended XYZ format:
```
5
Lattice="5.380 0.000 0.000 0.000 5.380 0.000 0.000 0.000 7.020" Properties=species:S:1:pos:R:3 pbc="T T T"
Br 0.000 0.000 0.000
I 0.000 0.000 3.510
Sb 0.000 2.690 0.000
Sr 2.690 2.690 3.510
Sb 2.690 0.000 0.000
```

Computed properties:
Symmetry   P4/mmm (123)

=====

Model two:
## SrSb2IBr (GGA-PBE)

Data for a relaxed SrSb2IBr crystal.

The structure in extended XYZ format:
```
5
Lattice="-2.800 -2.724 -5.024 3.636 -5.166 0.774 -4.216 -2.419 3.662" Properties=species:S:1:pos:R:3 pbc="T T T"
Sb 1.818 -2.583 0.387
Sr 0.000 0.000 0.000
I -2.108 -1.210 1.831
Br -1.691 -5.154 -0.294
Sb -1.400 -1.362 -2.512
```

Computed properties:
Symmetry   P4/mmm (123)

=====

If we sort the structures by their calculated energies, the order from most to least stable is model one, model two.

=====

Model one:
## SbTe2IBr (GGA-PBE)

Data for a relaxed SbTe2IBr crystal.

The structure in extended XYZ format:
```
5
Lattice="-1.631 0.076 -5.407 -4.737 -2.742 1.391 -2.661 5.039 0.873" Properties=species:S:1:pos:R:3 pbc="T T T"
Sb -1.330 2.519 0.436
Te -0.815 0.038 -2.703
I -4.514 1.186 -1.572
Br 0.000 0.000 0.000
Te -2.369 -1.371 0.695
```

Computed properties:
Symmetry   P4/mmm (123)

=====

Model two:
## SbTe2IBr (GGA-PBE)

Data for a relaxed SbTe2IBr crystal.

The structure in extended XYZ format:
```
5
Lattice="-2.760 -4.989 1.061 1.375 0.434 5.618 -4.979 2.965 0.990" Properties=species:S:1:pos:R:3 pbc="T T T"
I -2.490 1.482 0.495
Te -1.380 -2.495 0.531
Br -3.182 -0.795 3.834
Sb 0.000 0.000 0.000
Te 0.688 0.217 2.809
```

Computed properties:
Symmetry   P4/mmm (123)

=====

Model three:
## SbTe2IBr (GGA-PBE)

Data for a relaxed SbTe2IBr crystal.

The structure in extended XYZ format:
```
5
Lattice="5.713 0.000 0.000 0.000 5.713 0.000 0.000 0.000 5.606" Properties=species:S:1:pos:R:3 pbc="T T T"
I 0.000 0.000 2.803
Br 0.000 0.000 0.000
Sb 2.857 2.857 2.803
Te 2.857 0.000 0.000
Te 0.000 2.857 0.000
```

Computed properties:
Symmetry   P4/mmm (123)

=====

If we sort the structures by their calculated energies, the order from most to least stable is model two, model three, model one.

=====

Model one:
## TiSb2IBr (GGA-PBE)

Data for a relaxed TiSb2IBr crystal.

The structure in extended XYZ format:
```
5
Lattice="-0.679 5.394 -0.930 -5.467 -0.625 0.367 0.254 0.969 5.436" Properties=species:S:1:pos:R:3 pbc="T T T"
Br 0.000 0.000 0.000
Sb -2.734 -0.313 0.184
I 0.127 0.485 2.718
Ti -2.946 2.869 2.437
Sb -0.340 2.697 -0.465
```

Computed properties:
Symmetry   P4/mmm (123)

=====

Model two:
## TiSb2IBr (GGA-PBE)

Data for a relaxed TiSb2IBr crystal.

The structure in extended XYZ format:
```
5
Lattice="-4.666 -1.147 -2.380 -2.071 -1.414 4.740 -1.624 4.991 0.780" Properties=species:S:1:pos:R:3 pbc="T T T"
I -0.812 2.495 0.390
Br -4.180 1.215 1.570
Ti 0.000 0.000 0.000
Sb -1.035 -0.707 2.370
Sb -2.333 -0.573 -1.190
```

Computed properties:
Symmetry   P4/mmm (123)

=====

If we sort the structures by their calculated energies, the order from most to least stable is model two, model one.

=====

Model one:
## TlSbI2Br (GGA-PBE)

Data for a relaxed TlSbI2Br crystal.

The structure in extended XYZ format:
```
5
Lattice="5.909 0.000 0.000 0.000 5.909 0.000 0.000 0.000 6.120" Properties=species:S:1:pos:R:3 pbc="T T T"
Sb 0.000 0.000 3.060
Tl 0.000 0.000 0.000
I 0.000 2.955 0.000
Br 2.955 2.955 3.060
I 2.955 0.000 0.000
```

Computed properties:
Symmetry   P4/mmm (123)

=====

Model two:
## TlSbI2Br (GGA-PBE)

Data for a relaxed TlSbI2Br crystal.

The structure in extended XYZ format:
```
5
Lattice="-0.381 2.049 -5.779 -3.292 -4.953 -1.539 -4.830 2.803 1.312" Properties=species:S:1:pos:R:3 pbc="T T T"
I -0.191 1.025 -2.889
I -1.646 -2.476 -0.770
Tl -4.252 -0.050 -3.003
Br -2.415 1.401 0.656
Sb 0.000 0.000 0.000
```

Computed properties:
Symmetry   P4/mmm (123)

=====

If we sort the structures by their calculated energies, the order from most to least stable is model two, model one.

=====

Model one:
## VSbI2Br (GGA-PBE)

Data for a relaxed VSbI2Br crystal.

The structure in extended XYZ format:
```
5
Lattice="5.732 0.000 0.000 0.000 5.732 0.000 0.000 0.000 5.858" Properties=species:S:1:pos:R:3 pbc="T T T"
Br 0.000 0.000 0.000
I 2.866 0.000 0.000
I 0.000 2.866 0.000
Sb 0.000 0.000 2.929
V 2.866 2.866 2.929
```

Computed properties:
Symmetry   P4/mmm (123)

=====

Model two:
## VSbI2Br (GGA-PBE)

Data for a relaxed VSbI2Br crystal.

The structure in extended XYZ format:
```
5
Lattice="5.244 0.000 0.000 0.000 5.244 0.000 0.000 0.000 5.426" Properties=species:S:1:pos:R:3 pbc="T T T"
I 2.622 0.000 0.000
Br 2.622 2.622 2.713
V 0.000 0.000 0.000
Sb 0.000 0.000 2.713
I 0.000 2.622 0.000
```

Computed properties:
Symmetry   P4/mmm (123)

=====

If we sort the structures by their calculated energies, the order from most to least stable is model two, model one.

=====

Model one:
## SbWI2Br (GGA-PBE)

Data for a relaxed SbWI2Br crystal.

The structure in extended XYZ format:
```
5
Lattice="5.397 0.000 0.000 0.000 5.397 0.000 0.000 0.000 5.372" Properties=species:S:1:pos:R:3 pbc="T T T"
Sb 0.000 0.000 2.686
W 0.000 0.000 0.000
I 2.699 0.000 0.000
I 0.000 2.699 0.000
Br 2.699 2.699 2.686
```

Computed properties:
Symmetry   P4/mmm (123)

=====

Model two:
## SbWI2Br (GGA-PBE)

Data for a relaxed SbWI2Br crystal.

The structure in extended XYZ format:
```
5
Lattice="5.705 0.000 0.000 0.000 5.705 0.000 0.000 0.000 5.815" Properties=species:S:1:pos:R:3 pbc="T T T"
Sb 0.000 0.000 2.907
I 2.852 0.000 0.000
I 0.000 2.852 0.000
Br 0.000 0.000 0.000
W 2.852 2.852 2.907
```

Computed properties:
Symmetry   P4/mmm (123)

=====

If we sort the structures by their calculated energies, the order from most to least stable is model one, model two.

=====

Model one:
## Sb2WIBr (GGA-PBE)

Data for a relaxed Sb2WIBr crystal.

The structure in extended XYZ format:
```
5
Lattice="5.269 0.000 0.000 0.000 5.269 0.000 0.000 0.000 5.471" Properties=species:S:1:pos:R:3 pbc="T T T"
I 0.000 0.000 2.735
Br 2.634 2.634 2.735
W 0.000 0.000 0.000
Sb 0.000 2.634 0.000
Sb 2.634 0.000 0.000
```

Computed properties:
Symmetry   P4/mmm (123)

=====

Model two:
## Sb2WIBr (GGA-PBE)

Data for a relaxed Sb2WIBr crystal.

The structure in extended XYZ format:
```
5
Lattice="-0.943 -5.431 -0.478 5.224 -1.038 1.497 -1.554 -0.196 5.289" Properties=species:S:1:pos:R:3 pbc="T T T"
Sb -0.471 -2.715 -0.239
W 1.363 -3.332 3.154
Sb 2.612 -0.519 0.749
I -0.777 -0.098 2.644
Br 0.000 0.000 0.000
```

Computed properties:
Symmetry   P4/mmm (123)

=====

If we sort the structures by their calculated energies, the order from most to least stable is model one, model two.

=====

Model one:
## YSb2IBr (GGA-PBE)

Data for a relaxed YSb2IBr crystal.

The structure in extended XYZ format:
```
5
Lattice="-5.111 1.315 1.705 -1.684 -5.178 -1.055 1.336 -1.483 5.147" Properties=species:S:1:pos:R:3 pbc="T T T"
Sb -0.842 -2.589 -0.527
Br 0.000 0.000 0.000
Y -2.730 -2.673 2.899
I 0.668 -0.741 2.574
Sb -2.556 0.657 0.853
```

Computed properties:
Symmetry   P4/mmm (123)

=====

Model two:
## YSb2IBr (GGA-PBE)

Data for a relaxed YSb2IBr crystal.

The structure in extended XYZ format:
```
5
Lattice="5.923 0.000 0.000 0.000 5.923 0.000 0.000 0.000 5.807" Properties=species:S:1:pos:R:3 pbc="T T T"
Sb 0.000 2.962 0.000
Sb 2.962 0.000 0.000
I 0.000 0.000 2.904
Y 0.000 0.000 0.000
Br 2.962 2.962 2.904
```

Computed properties:
Symmetry   P4/mmm (123)

=====

If we sort the structures by their calculated energies, the order from most to least stable is model two, model one.

=====

Model one:
## ScSeIBr2 (GGA-PBE)

Data for a relaxed ScSeIBr2 crystal.

The structure in extended XYZ format:
```
5
Lattice="5.618 0.000 0.000 0.000 5.618 0.000 0.000 0.000 5.778" Properties=species:S:1:pos:R:3 pbc="T T T"
Br 2.809 0.000 0.000
I 0.000 0.000 0.000
Br 0.000 2.809 0.000
Sc 2.809 2.809 2.889
Se 0.000 0.000 2.889
```

Computed properties:
Symmetry   P4/mmm (123)

=====

Model two:
## ScSeIBr2 (GGA-PBE)

Data for a relaxed ScSeIBr2 crystal.

The structure in extended XYZ format:
```
5
Lattice="-2.075 -3.809 2.701 4.516 -2.389 0.101 1.346 2.753 4.917" Properties=species:S:1:pos:R:3 pbc="T T T"
I 1.893 -1.722 3.860
Sc 0.000 0.000 0.000
Se 0.673 1.377 2.458
Br 2.258 -1.194 0.051
Br -1.038 -1.905 1.351
```

Computed properties:
Symmetry   P4/mmm (123)

=====

If we sort the structures by their calculated energies, the order from most to least stable is model two, model one.

=====

Model one:
## ScTe2IBr (GGA-PBE)

Data for a relaxed ScTe2IBr crystal.

The structure in extended XYZ format:
```
5
Lattice="-0.132 -0.683 5.658 4.865 -2.961 -0.244 2.883 4.685 0.633" Properties=species:S:1:pos:R:3 pbc="T T T"
I 1.442 2.342 0.317
Br 0.000 0.000 0.000
Sc 3.808 0.520 3.024
Te -0.066 -0.342 2.829
Te 2.433 -1.481 -0.122
```

Computed properties:
Symmetry   P4/mmm (123)

=====

Model two:
## ScTe2IBr (GGA-PBE)

Data for a relaxed ScTe2IBr crystal.

The structure in extended XYZ format:
```
5
Lattice="5.614 0.000 0.000 0.000 5.614 0.000 0.000 0.000 5.566" Properties=species:S:1:pos:R:3 pbc="T T T"
Sc 0.000 0.000 0.000
I 0.000 0.000 2.783
Te 0.000 2.807 0.000
Te 2.807 0.000 0.000
Br 2.807 2.807 2.783
```

Computed properties:
Symmetry   P4/mmm (123)

=====

If we sort the structures by their calculated energies, the order from most to least stable is model two, model one.

=====

Model one:
## SeI2Br (GGA-PBE)

Data for a relaxed SeI2Br crystal.

The structure in extended XYZ format:
```
8
Lattice="8.894 0.000 0.000 0.000 8.894 0.000 4.447 4.447 6.427" Properties=species:S:1:pos:R:3 pbc="T T T"
Br 8.894 4.447 3.214
I 6.670 8.894 4.820
I 4.447 2.223 1.607
Se 4.447 8.894 3.214
I 11.117 8.894 4.820
I 4.447 6.670 1.607
Se 4.447 4.447 0.000
Br 0.000 0.000 0.000
```

Computed properties:
Symmetry   I4_1/amd (141)

=====

Model two:
## SeI2Br (GGA-PBE)

Data for a relaxed SeI2Br crystal.

The structure in extended XYZ format:
```
16
Lattice="9.418 0.000 0.000 0.000 13.063 -3.488 0.000 -5.656 8.276" Properties=species:S:1:pos:R:3 pbc="T T T"
Se 4.062 -3.358 4.977
I 2.362 3.261 3.089
Se 0.647 6.001 -0.905
Br 0.741 5.119 4.270
I 7.056 8.764 -1.167
I 2.347 -0.443 0.695
Br 8.678 2.288 0.518
Se 8.771 1.405 5.693
Br 5.450 5.991 2.911
I 7.071 7.849 4.093
Se 5.357 10.765 -0.190
I 7.057 4.146 1.699
I 2.362 -1.357 5.955
I 2.347 8.002 0.073
I 7.071 -0.595 4.715
Br 3.968 1.416 1.876
```

Computed properties:
Symmetry   P2_1/c (14)

=====

Model three:
## SeI2Br (GGA-PBE)

Data for a relaxed SeI2Br crystal.

The structure in extended XYZ format:
```
4
Lattice="0.000 3.854 3.854 3.854 0.000 3.854 3.854 3.854 0.000" Properties=species:S:1:pos:R:3 pbc="T T T"
I 5.781 5.781 5.781
I 1.927 1.927 1.927
Br 3.854 3.854 3.854
Se 0.000 0.000 0.000
```

Computed properties:
Symmetry   Fm-3m (225)

=====

If we sort the structures by their calculated energies, the order from most to least stable is model two, model one, model three.